Here is a relaxed NaLaScIr2 crystal from the Alexandria database. Energies are from PBE-GGA.

Calculated values
V in Å³ per atom: 23.1
Density in g/cm³: 8.5
Total moment in μB/cell: 0.0
VASP energy in eV/f.u.: -29.07
Calculated formation energy in meV/atom: 245.5

Lattice parameters (Å, degrees): 4.883 4.883 4.850 90.00 90.00 90.00
Atoms (fractional coordinates):
Na 0.000 0.000 0.000
La 0.500 0.500 0.000
Sc 0.000 0.000 0.500
Ir 0.000 0.500 0.500
Ir 0.500 0.000 0.500

---

Here is a relaxed TaNiRh crystal from the Alexandria database. Energies are from PBE-GGA.

Calculated values
V in Å³ per atom: 14.5
Density in g/cm³: 13.1
Total moment in μB/cell: 0.0
VASP energy in eV/f.u.: -25.80
E above lowest polymorph in eV/atom: 0.1540
Calculated formation energy in meV/atom: -270.9

Lattice parameters (Å, degrees): 4.272 4.272 2.755 90.00 90.00 120.00
Atoms (fractional coordinates):
Ta 0.000 0.000 0.000
Ni 0.333 0.667 0.238
Rh 0.667 0.333 0.639

---

Here is a relaxed CaCo2Mo crystal from the Alexandria database. Energies are from PBE-GGA.

Calculated values
V in Å³ per atom: 17.0
Density in g/cm³: 6.2
Total moment in μB/cell: 0.0
VASP energy in eV/f.u.: -24.86
E above lowest polymorph in eV/atom: 0.3280
Calculated formation energy in meV/atom: 545.5

Lattice parameters (Å, degrees): 3.193 3.193 23.106 90.00 90.00 120.00
Atoms (fractional coordinates):
Ca 0.000 0.000 0.000
Ca 0.333 0.667 0.667
Ca 0.667 0.333 0.333
Co 0.000 0.000 0.233
Co 0.000 0.000 0.767
Co 0.333 0.667 0.433
Co 0.333 0.667 0.900
Co 0.667 0.333 0.100
Co 0.667 0.333 0.567
Mo 0.000 0.000 0.500
Mo 0.333 0.667 0.167
Mo 0.667 0.333 0.833

---

Here is a relaxed Nd2YAg2 crystal from the Alexandria database. Energies are from PBE-GGA.

Calculated values
V in Å³ per atom: 30.2
Density in g/cm³: 6.5
Total moment in μB/cell: 0.0
VASP energy in eV/f.u.: -22.11
E above lowest polymorph in eV/atom: 0.1171
Calculated formation energy in meV/atom: -81.5

Lattice parameters (Å, degrees): 5.836 4.741 10.988 90.00 97.01 90.00
Atoms (fractional coordinates):
Nd 0.105 0.250 0.378
Nd 0.254 0.250 0.047
Nd 0.746 0.750 0.953
Nd 0.895 0.750 0.622
Y 0.413 0.250 0.716
Y 0.587 0.750 0.284
Ag 0.232 0.750 0.857
Ag 0.372 0.750 0.531
Ag 0.628 0.250 0.469
Ag 0.768 0.250 0.143

---

Here is a relaxed Cu4ReAg crystal from the Alexandria database. Energies are from PBE-GGA.

Calculated values
V in Å³ per atom: 13.3
Density in g/cm³: 11.4
Total moment in μB/cell: 1.8
VASP energy in eV/f.u.: -29.09
Calculated formation energy in meV/atom: 432.3

Lattice parameters (Å, degrees): 4.838 4.838 4.838 60.00 60.00 60.00
Atoms (fractional coordinates):
Cu 0.125 0.125 0.125
Cu 0.125 0.125 0.626
Cu 0.125 0.626 0.125
Cu 0.626 0.125 0.125
Re 0.750 0.750 0.750
Ag 0.500 0.500 0.500

---

Here is a relaxed Sb2RhPb crystal from the Alexandria database. Energies are from PBE-GGA.

Calculated values
V in Å³ per atom: 23.6
Uncorrected formation energy in eV per atom: 0.30
Density in g/cm³: 9.7
Total moment in μB/cell: 0.0
VASP energy in eV/f.u.: -18.10

Lattice parameters (Å, degrees): 7.226 7.226 7.226 90.00 90.00 90.00
Atoms (fractional coordinates):
Sb 0.000 0.000 0.000
Sb 0.000 0.500 0.500
Sb 0.250 0.250 0.250
Sb 0.250 0.750 0.750
Sb 0.500 0.000 0.500
Sb 0.500 0.500 0.000
Sb 0.750 0.250 0.750
Sb 0.750 0.750 0.250
Rh 0.000 0.000 0.500
Rh 0.000 0.500 0.000
Rh 0.500 0.000 0.000
Rh 0.500 0.500 0.500
Pb 0.250 0.250 0.750
Pb 0.250 0.750 0.250
Pb 0.750 0.250 0.250
Pb 0.750 0.750 0.750

---

Here is a relaxed NbN2Cl crystal from the Alexandria database. Energies are from PBE-GGA.

Calculated values
V in Å³ per atom: 21.2
Uncorrected formation energy in eV per atom: 0.23
Density in g/cm³: 3.1
Total moment in μB/cell: 8.0
VASP energy in eV/f.u.: -27.64
E above lowest polymorph in eV/atom: 0.2604

Lattice parameters (Å, degrees): 6.059 6.059 9.223 90.00 90.00 90.00
Atoms (fractional coordinates):
Nb 0.000 0.000 0.000
Nb 0.000 0.500 0.250
Nb 0.500 0.000 0.750
Nb 0.500 0.500 0.500
N 0.059 0.250 0.125
N 0.250 0.559 0.375
N 0.250 0.941 0.875
N 0.441 0.250 0.625
N 0.559 0.750 0.625
N 0.750 0.059 0.875
N 0.750 0.441 0.375
N 0.941 0.750 0.125
Cl 0.000 0.000 0.500
Cl 0.000 0.500 0.750
Cl 0.500 0.000 0.250
Cl 0.500 0.500 0.000

---

Here is a relaxed BeCoCS2 crystal from the Alexandria database. Energies are from PBE-GGA.

Calculated values
V in Å³ per atom: 14.7
Uncorrected formation energy in eV per atom: 1.59
Density in g/cm³: 3.3
Total moment in μB/cell: 0.5
VASP energy in eV/f.u.: -20.37

Lattice parameters (Å, degrees): 4.294 4.294 3.977 90.00 90.00 90.00
Atoms (fractional coordinates):
Be 0.000 0.000 0.000
Co 0.000 0.000 0.500
C 0.500 0.500 0.000
S 0.000 0.500 0.500
S 0.500 0.000 0.500

---

Here is a relaxed AcPr5Y3 crystal from the Alexandria database. Energies are from PBE-GGA.

Calculated values
V in Å³ per atom: 36.1
Density in g/cm³: 6.1
Total moment in μB/cell: 0.0
VASP energy in eV/f.u.: -46.25
E above lowest polymorph in eV/atom: 0.0000
Calculated formation energy in meV/atom: 127.9

Lattice parameters (Å, degrees): 10.885 10.885 10.885 139.88 68.11 127.45
Atoms (fractional coordinates):
Ac 0.355 0.105 0.250
Ac 0.645 0.895 0.750
Pr 0.157 0.333 0.341
Pr 0.157 0.816 0.824
Pr 0.281 0.531 0.750
Pr 0.492 0.333 0.676
Pr 0.492 0.816 0.159
Pr 0.508 0.184 0.841
Pr 0.508 0.667 0.324
Pr 0.719 0.469 0.250
Pr 0.843 0.184 0.176
Pr 0.843 0.667 0.659
Y 0.000 0.000 0.500
Y 0.000 0.500 0.000
Y 0.170 0.244 0.926
Y 0.183 0.756 0.426
Y 0.817 0.244 0.574
Y 0.830 0.756 0.074

---

Here is a relaxed NaZr2SiBi crystal from the Alexandria database. Energies are from PBE-GGA.

Calculated values
V in Å³ per atom: 24.4
Uncorrected formation energy in eV per atom: 1.14
Density in g/cm³: 6.0
Total moment in μB/cell: 0.0
VASP energy in eV/f.u.: -22.03

Lattice parameters (Å, degrees): 5.130 5.130 4.641 90.00 90.00 90.00
Atoms (fractional coordinates):
Na 0.000 0.000 0.000
Zr 0.000 0.500 0.000
Zr 0.500 0.000 0.000
Si 0.000 0.000 0.500
Bi 0.500 0.500 0.500

---

Here is a relaxed HoCoSn crystal from the Alexandria database. Energies are from PBE-GGA.

Calculated values
V in Å³ per atom: 20.7
Density in g/cm³: 9.2
Total moment in μB/cell: 0.8
VASP energy in eV/f.u.: -16.84
Calculated formation energy in meV/atom: -383.9

Lattice parameters (Å, degrees): 4.482 4.482 3.563 90.00 90.00 120.00
Atoms (fractional coordinates):
Ho 0.000 0.000 0.000
Co 0.333 0.667 0.500
Sn 0.667 0.333 0.500

---

Here is a relaxed Tb5MgCo2 crystal from the Alexandria database. Energies are from PBE-GGA.

Calculated values
V in Å³ per atom: 26.0
Density in g/cm³: 7.5
Total moment in μB/cell: 0.0
VASP energy in eV/f.u.: -39.59
Calculated formation energy in meV/atom: -79.6

Lattice parameters (Å, degrees): 3.935 7.185 14.725 90.00 90.00 90.00
Atoms (fractional coordinates):
Tb 0.000 0.000 0.000
Tb 0.000 0.249 0.346
Tb 0.000 0.249 0.654
Tb 0.000 0.751 0.346
Tb 0.000 0.751 0.654
Tb 0.500 0.251 0.154
Tb 0.500 0.251 0.846
Tb 0.500 0.500 0.500
Tb 0.500 0.749 0.154
Tb 0.500 0.749 0.846
Mg 0.000 0.500 0.000
Mg 0.500 0.000 0.500
Co 0.000 0.000 0.192
Co 0.000 0.000 0.808
Co 0.500 0.500 0.308
Co 0.500 0.500 0.692